First-principles (meta-GGA SCAN) data for a crystal of CaBe2Pt relaxed with PBEsol, as listed in Alexandria.

Its crystal system is monoclinic. The calculation puts the density of states at the Fermi level at 0.474 states/eV/atom. As for the formation energy: -689 meV/atom. The calculation puts the final energy at -22.8304 eV per atom.

It has space group Cm (No. 8), with a = 6.815 Å, b = 3.956 Å, c = 5.550 Å, α = 90.00°, β = 113.98° and γ = 90.00°. The asymmetric unit holds Ca at (0.000, 0.000, 0.000), Be at (0.177, 0.000, 0.534), Be at (0.488, 0.000, 0.469) and Pt at (0.310, 0.500, 0.433).